Entry 1:
# AcSmNO

An optimized crystal structure of AcSmNO (PBE-GGA, OQMD).

Calculated values
M_tot = 1.7 μB/cell
Uncorrected energy = -59.506 eV per cell
Energy above the lowest structure with this stoichiometry = 5.01 kJ/mol of atoms

Unit cell a=4.0828 b=7.0753 c=6.0721 alpha=90.00 beta=90.00 gamma=90.00
Closest atoms and distances in Å follow each position.
Space group Pmc2_1 (No. 26)
Symmetry-distinct sites (fractional):
Ac  0.0000  0.1564  0.0000 x2  2 N 2.53-2.55, 2 O 2.60
Sm  0.5000  0.3261  0.5117 x2  2 O 2.30-2.33, 2 N 2.32
N  0.0000  0.1969  0.4136 x2  2 Sm 2.32, 2 Ac 2.53-2.55
O  0.5000  0.3650  0.8925 x2  2 Sm 2.30-2.33

***

Entry 2:
# BeGaW

An optimized crystal structure of BeGaW (PBE-GGA, OQMD).

Calculated values
M_tot = 1.6 μB/cell
Uncorrected energy = -66.864 eV per cell
Energy above the lowest structure with this stoichiometry = 41.96 kJ/mol of atoms

Unit cell a=5.8296 b=5.8296 c=5.8296 alpha=90.00 beta=90.00 gamma=90.00
Closest atoms and distances in Å follow each position.
Space group F-43m (No. 216)
Symmetry-distinct sites (fractional):
Be  0.0000  0.0000  0.0000 x4  4 W 2.52
Ga  0.0000  0.0000  0.5000 x4  4 W 2.52
W  0.2500  0.2500  0.2500 x4  4 Ga 2.52, 4 Be 2.52

***

Entry 3:
# UCoTc

An optimized crystal structure of UCoTc (PBE-GGA, OQMD).

Calculated values
M_tot = 0.1 μB/cell
Uncorrected energy = -111.723 eV per cell
ΔE_f = 0.28 eV/atom
Energy above the lowest structure with this stoichiometry = 0.00 kJ/mol of atoms

Unit cell a=5.9156 b=5.9156 c=5.9156 alpha=90.00 beta=90.00 gamma=90.00
Closest atoms and distances in Å follow each position.
Space group F-43m (No. 216)
Symmetry-distinct sites (fractional):
U  0.0000  0.0000  0.0000 x4  4 Co 2.56
Co  0.2500  0.2500  0.7500 x4  4 Tc 2.56, 4 U 2.56
Tc  0.0000  0.0000  0.5000 x4  4 Co 2.56

***

Entry 4:
# Sm2Ta2MoN6

An optimized crystal structure of Sm2Ta2MoN6 (PBE-GGA, OQMD).

Calculated values
M_tot = 0.0 μB/cell
Uncorrected energy = -207.264 eV per cell

Unit cell a=3.9885 b=3.9885 c=18.2571 alpha=90.00 beta=90.00 gamma=90.00
Closest atoms and distances in Å follow each position.
Space group I4/mmm (No. 139)
Symmetry-distinct sites (fractional):
Sm  0.0000  0.0000  0.1752 x4  1 N 2.35
Ta  0.0000  0.0000  0.4104 x4  5 N 1.95-2.02
Mo  0.0000  0.0000  0.0000 x2  8 N 2.41
N  0.0000  0.0000  0.3037 x4  1 Ta 1.95
N  0.0000  0.5000  0.0737 x8  2 Ta 2.02

***

Question: What is the M_tot in the first record?
Answer: 1.7 μB/cell

***

Question: Look up the uncorrected energy of the second one.
Answer: -66.864 eV per cell